Record 1
{
  "formula": "LiSn2P5O15",
  "functional": "GGA-PBEsol",
  "state": "optimized geometry",
  "energy_ev_per_cell": -330.88,
  "raw_formation_energy_ev_per_fu": -47.26,
  "crystal_system": "monoclinic",
  "lattice_angstrom": [[-4.972, 0.621, -2.155], [-3.300, -7.233, 5.530], [-2.672, 7.985, 8.849]],
  "species": ["O", "O", "O", "O", "O", "O", "O", "O", "O", "O", "O", "O", "O", "O", "O", "O", "O", "O", "O", "O", "O", "O", "O", "O", "O", "O", "O", "O", "O", "O", "P", "P", "P", "P", "P", "P", "P", "P", "P", "P", "Sn", "Sn", "Sn", "Sn", "Li", "Li"],
  "fractional_positions": [[0.430, 0.902, 0.192], [0.552, 0.108, 0.810], [0.877, 0.821, 0.491], [0.359, 0.089, 0.328], [0.012, 0.399, 0.331], [0.405, 0.657, 0.133], [0.167, 0.171, 0.529], [0.859, 0.911, 0.828], [0.979, 0.592, 0.682], [0.767, 0.600, 0.248], [0.930, 0.098, 0.692], [0.191, 0.834, 0.019], [0.512, 0.601, 0.831], [0.846, 0.166, 0.967], [0.905, 0.343, 0.633], [0.718, 0.543, 0.448], [0.667, 0.829, 0.029], [0.052, 0.892, 0.310], [0.110, 0.649, 0.371], [0.479, 0.408, 0.182], [0.269, 0.468, 0.549], [0.610, 0.351, 0.871], [0.346, 0.834, 0.467], [0.218, 0.457, 0.948], [0.691, 0.166, 0.519], [0.769, 0.532, 0.049], [0.267, 0.400, 0.748], [0.377, 0.179, 0.991], [0.067, 0.064, 0.160], [0.567, 0.936, 0.660], [0.107, 0.463, 0.648], [0.922, 0.190, 0.583], [0.896, 0.536, 0.355], [0.226, 0.000, 0.247], [0.422, 0.810, 0.083], [0.607, 0.537, 0.148], [0.097, 0.803, 0.419], [0.396, 0.464, 0.855], [0.726, 0.000, 0.747], [0.597, 0.197, 0.919], [0.611, 0.696, 0.585], [0.388, 0.314, 0.409], [0.888, 0.686, 0.909], [0.111, 0.304, 0.085], [0.443, 0.020, 0.520], [0.943, 0.980, 0.020]]
}

***

Record 2
{
  "formula": "Ta2SbCl",
  "functional": "GGA-PBEsol",
  "state": "optimized geometry",
  "relative_energy_kcal_per_mol_atoms": 0.00,
  "energy_ev_per_cell": -32.68,
  "raw_formation_energy_ev_per_fu": -1.01,
  "crystal_system": "trigonal",
  "lattice_angstrom": [[-0.724, 0.449, -2.966], [0.387, -2.279, -2.045], [-9.616, -3.863, 0.156]],
  "species": ["Sb", "Cl", "Ta", "Ta"],
  "fractional_positions": [[0.265, 0.265, 0.206], [0.476, 0.476, 0.573], [0.753, 0.753, 0.742], [0.007, 0.007, 0.979]]
}

***

Record 3
{
  "formula": "NbCrGa",
  "functional": "GGA-PBEsol",
  "state": "optimized geometry",
  "energy_ev_per_cell": -100.00,
  "crystal_system": "orthorhombic",
  "formation_energy_ev_per_atom": -0.1992,
  "lattice_angstrom": [[-0.713, 3.532, 3.377], [-3.486, -0.722, -3.591], [-3.709, -5.189, 4.644]],
  "species": ["Ga", "Ga", "Ga", "Ga", "Cr", "Cr", "Cr", "Cr", "Nb", "Nb", "Nb", "Nb"],
  "fractional_positions": [[0.178, 0.356, 0.000], [0.830, 0.163, 0.500], [0.828, 0.656, 0.500], [0.334, 0.163, 0.500], [0.988, 0.977, 0.765], [0.173, 0.845, 0.000], [0.988, 0.977, 0.235], [0.672, 0.845, 0.000], [0.335, 0.670, 0.302], [0.335, 0.670, 0.698], [0.670, 0.340, 0.184], [0.670, 0.340, 0.816]]
}

***

Record 4
{
  "formula": "CuAu",
  "functional": "GGA-PBEsol",
  "state": "optimized geometry",
  "energy_ev_per_cell": -16.32,
  "crystal_system": "cubic",
  "formation_energy_ev_per_atom": 0.0487,
  "lattice_angstrom": [[-1.637, -3.448, 2.079], [1.289, -4.007, -1.086], [2.503, -2.289, 2.718]],
  "species": ["Cu", "Cu", "Au", "Au"],
  "fractional_positions": [[0.250, 0.250, 0.250], [0.000, 0.000, 0.000], [0.750, 0.750, 0.750], [0.500, 0.500, 0.500]]
}

***

Record 5
{
  "formula": "Mo2IrBr",
  "functional": "GGA-PBEsol",
  "state": "optimized geometry",
  "relative_energy_kcal_per_mol_atoms": 0.00,
  "energy_ev_per_cell": -33.64,
  "raw_formation_energy_ev_per_fu": 1.59,
  "crystal_system": "orthorhombic",
  "lattice_angstrom": [[2.810, 0.000, 0.000], [0.000, 3.631, 0.000], [0.000, 0.000, 6.761]],
  "species": ["Mo", "Mo", "Br", "Ir"],
  "fractional_positions": [[0.500, 0.000, 0.802], [0.500, 0.000, 0.198], [0.500, 0.500, 0.500], [0.000, 0.500, 0.000]]
}

***

Record 6
{
  "formula": "MgZn2Pb",
  "functional": "GGA-PBEsol",
  "state": "optimized geometry",
  "relative_energy_kcal_per_mol_atoms": 0.80,
  "energy_ev_per_cell": -8.37,
  "crystal_system": "monoclinic",
  "formation_energy_ev_per_atom": 0.1284,
  "lattice_angstrom": [[-1.728, 2.479, -1.348], [-3.475, -3.309, -1.630], [-1.247, 1.696, 4.719]],
  "species": ["Zn", "Zn", "Mg", "Pb"],
  "fractional_positions": [[0.000, 0.000, 0.000], [0.500, 0.000, 0.500], [0.500, 0.500, 0.000], [0.000, 0.500, 0.500]]
}

***

Record 7
{
  "formula": "K3SrPt",
  "functional": "GGA-PBEsol",
  "state": "optimized geometry",
  "relative_energy_kcal_per_mol_atoms": 23.13,
  "energy_ev_per_cell": -5.75,
  "crystal_system": "cubic",
  "formation_energy_ev_per_atom": 1.2899,
  "lattice_angstrom": [[6.974, 0.000, 0.000], [0.000, 6.974, 0.000], [0.000, 0.000, 6.974]],
  "species": ["K", "K", "K", "Pt", "Sr"],
  "fractional_positions": [[0.000, 0.000, 0.500], [0.000, 0.500, 0.000], [0.500, 0.000, 0.000], [0.500, 0.500, 0.500], [0.000, 0.000, 0.000]]
}

***

Record 8
{
  "formula": "La2Co3",
  "functional": "GGA-PBEsol",
  "state": "optimized geometry",
  "energy_ev_per_cell": -68.60,
  "crystal_system": "orthorhombic",
  "formation_energy_ev_per_atom": -0.0790,
  "lattice_angstrom": [[-2.199, -3.202, 2.675], [2.735, -2.086, -4.406], [6.201, -0.748, 4.203]],
  "species": ["Co", "Co", "Co", "Co", "Co", "Co", "La", "La", "La", "La"],
  "fractional_positions": [[0.500, 0.000, 0.500], [0.342, 0.183, 0.250], [0.658, 0.817, 0.750], [0.000, 0.000, 0.000], [0.842, 0.183, 0.250], [0.158, 0.817, 0.750], [0.350, 0.700, 0.089], [0.150, 0.300, 0.589], [0.850, 0.700, 0.411], [0.650, 0.300, 0.911]]
}